Compound: Na3DyP2
Source: OQMD
Functional: PBE
Structure: optimized geometry

abc: 6.843 14.025 6.744
angles: 90.00 90.00 90.00
Space group Ibam (No. 72)
Asymmetric unit:
Na 0.000 0.000 0.250 [4 per cell]
Na 0.190 0.300 0.000 [8 per cell]
Dy 0.000 0.500 0.250 [4 per cell]
P 0.217 0.392 0.500 [8 per cell]

E   -3.85 eV/atom
M_tot   0.00 μB per formula unit